The following is a PBE with a Hubbard U calculation of Li2Ce2NiO6 after structural relaxation, from Alexandria via LeMat-Bulk.

```
11
Lattice="2.907 1.678 5.094 -2.907 1.678 5.094 0.000 -3.357 5.094" Properties=species:S:1:pos:R:3 pbc="T T T"
Li 0.000 0.000 1.229
Li 0.000 0.000 14.053
Ce 0.000 0.000 4.771
Ce 0.000 0.000 10.512
Ni 0.000 0.000 7.641
O 0.000 -1.529 6.216
O -1.324 0.764 6.216
O -1.324 -0.764 9.066
O 1.324 0.764 6.216
O 1.324 -0.764 9.066
O 0.000 1.529 9.066
```

Density   5.0 g cm⁻³
Total DFT energy (no corrections)   -71.6 eV per cell

The following is a PBE with a Hubbard U calculation of Li2CeNiO4 after structural relaxation, from Alexandria via LeMat-Bulk.

```
8
Lattice="-2.246 2.246 4.387 2.246 -2.246 4.387 2.246 2.246 -4.387" Properties=species:S:1:pos:R:3 pbc="T T T"
Li 0.000 0.000 0.000
Li 0.000 2.246 2.194
Ce 2.246 0.000 2.194
Ni 0.000 0.000 4.387
O 0.000 0.000 2.313
O 0.000 2.246 0.011
O 0.000 0.000 6.462
O 0.000 2.246 4.376
```

Density   5.2 g cm⁻³
Total DFT energy (no corrections)   -49.8 eV per cell